No. 1
# AlAuO2, relaxed, DFT GGA-PBE
# Mass density: 9.213 g cm⁻³
# D(E_F): 0.0000 states/eV/atom
# Energy relative to the elements, uncorrected: -1874 meV/atom
data_AlAuO2
_chemical_formula_sum 'Al2 Au2 O4'
_symmetry_space_group_name_H-M 'P 63/m m c'
_symmetry_Int_Tables_number 194
_symmetry_space_group_name_Hall '-P 6c 2c'
_cell_length_a 2.9339
_cell_length_b 2.9339
_cell_length_c 12.3771
_cell_angle_alpha 90.00
_cell_angle_beta 90.00
_cell_angle_gamma 120.00
loop_
_atom_site_label
_atom_site_type_symbol
_atom_site_fract_x
_atom_site_fract_y
_atom_site_fract_z
Al1 Al 0.0000 0.0000 0.0000
Au1 Au 0.3333 0.6667 0.2500
O1 O 0.3333 0.6667 0.0766



No. 2
# K2BaTc, relaxed, DFT GGA-PBE
# Mass density: 2.700 g cm⁻³
# Excess energy over the best structure of this formula in the dataset: 0.339 eV/f.u.
# D(E_F): 0.8186 states/eV/atom
# Energy of formation from the pure elements: 3.84 eV per formula unit
data_K2BaTc
_chemical_formula_sum 'K4 Ba2 Tc2'
_symmetry_space_group_name_H-M 'C 1 m 1'
_symmetry_Int_Tables_number 8
_cell_length_a 8.834
_cell_length_b 3.711
_cell_length_c 11.797
_cell_angle_alpha 90.00
_cell_angle_beta 94.31
_cell_angle_gamma 90.00
loop_
_symmetry_equiv_pos_as_xyz
'x,y,z'
'x,-y,z'
'x+1/2,y+1/2,z'
'x+1/2,-y+1/2,z'
loop_
_atom_site_label
_atom_site_type_symbol
_atom_site_fract_x
_atom_site_fract_y
_atom_site_fract_z
K1 K 0.000 0.000 0.000
K2 K 0.228 0.000 0.663
Ba1 Ba 0.458 0.000 0.340
Tc1 Tc 0.233 0.500 0.197



No. 3
# Zn5Ni, relaxed, DFT GGA-PBE
# Mass density: 7.682 g cm⁻³
# D(E_F): 0.3968 states/eV/atom
# Energy of formation from the pure elements: -0.50 eV per formula unit
data_Zn5Ni
_chemical_formula_sum 'Zn10 Ni2'
_symmetry_space_group_name_H-M 'A m m 2'
_symmetry_Int_Tables_number 38
_cell_length_a 4.259
_cell_length_b 2.716
_cell_length_c 14.416
_cell_angle_alpha 90.00
_cell_angle_beta 90.00
_cell_angle_gamma 90.00
loop_
_symmetry_equiv_pos_as_xyz
'x,y,z'
'-x,-y,z'
'-x,y,z'
'x,-y,z'
'x,y+1/2,z+1/2'
'-x,-y+1/2,z+1/2'
'-x,y+1/2,z+1/2'
'x,-y+1/2,z+1/2'
loop_
_atom_site_label
_atom_site_type_symbol
_atom_site_fract_x
_atom_site_fract_y
_atom_site_fract_z
Zn1 Zn 0.000 0.000 0.000
Zn2 Zn 0.000 0.000 0.310
Zn3 Zn 0.500 0.000 0.105
Zn4 Zn 0.500 0.000 0.431
Zn5 Zn 0.500 0.000 0.761
Ni1 Ni 0.000 0.000 0.655



No. 4
# BaY2FeI, relaxed, DFT GGA-PBE
# Mass density: 3.654 g cm⁻³
# D(E_F): 3.3311 states/eV/atom
# Energy relative to the elements, uncorrected: 1461 meV/atom
data_BaY2FeI
_chemical_formula_sum 'Ba1 Y2 Fe1 I1'
_symmetry_space_group_name_H-M 'P 4/m m m'
_symmetry_Int_Tables_number 123
_symmetry_space_group_name_Hall '-P 4 2'
_cell_length_a 6.048
_cell_length_b 6.048
_cell_length_c 6.186
_cell_angle_alpha 90.00
_cell_angle_beta 90.00
_cell_angle_gamma 90.00
loop_
_atom_site_label
_atom_site_type_symbol
_atom_site_fract_x
_atom_site_fract_y
_atom_site_fract_z
Ba1 Ba 0.000 0.000 0.000
Y1 Y 0.000 0.500 0.000
Fe1 Fe 0.500 0.500 0.500
I1 I 0.000 0.000 0.500



No. 5
# InBIrRh2, relaxed, DFT GGA-PBE
# Mass density: 12.099 g cm⁻³
# D(E_F): 0.7437 states/eV/atom
# Energy of formation from the pure elements: -1.51 eV per formula unit
data_InBIrRh2
_chemical_formula_sum 'In1 B1 Ir1 Rh2'
_symmetry_space_group_name_H-M 'P 4/m m m'
_symmetry_Int_Tables_number 123
_symmetry_space_group_name_Hall '-P 4 2'
_cell_length_a 4.161
_cell_length_b 4.161
_cell_length_c 4.151
_cell_angle_alpha 90.00
_cell_angle_beta 90.00
_cell_angle_gamma 90.00
loop_
_atom_site_label
_atom_site_type_symbol
_atom_site_fract_x
_atom_site_fract_y
_atom_site_fract_z
In1 In 0.000 0.000 0.000
B1 B 0.500 0.500 0.500
Ir1 Ir 0.500 0.500 0.000
Rh1 Rh 0.000 0.500 0.500



No. 6
# TeAu2NCl, relaxed, DFT GGA-PBE
# Mass density: 8.900 g cm⁻³
# Excess energy over the best structure of this formula in the dataset: 0.000 eV/f.u.
# D(E_F): 0.5400 states/eV/atom
# Energy relative to the elements, uncorrected: 737 meV/atom
data_TeAu2NCl
_chemical_formula_sum 'Te1 Au2 N1 Cl1'
_symmetry_space_group_name_H-M 'P 4/m m m'
_symmetry_Int_Tables_number 123
_symmetry_space_group_name_Hall '-P 4 2'
_cell_length_a 4.190
_cell_length_b 4.190
_cell_length_c 6.067
_cell_angle_alpha 90.00
_cell_angle_beta 90.00
_cell_angle_gamma 90.00
loop_
_atom_site_label
_atom_site_type_symbol
_atom_site_fract_x
_atom_site_fract_y
_atom_site_fract_z
Te1 Te 0.000 0.000 0.000
Au1 Au 0.000 0.500 0.500
N1 N 0.000 0.000 0.500
Cl1 Cl 0.500 0.500 0.000



No. 7
# SrSiTe2I, relaxed, DFT GGA-PBE
# Mass density: 4.984 g cm⁻³
# Excess energy over the best structure of this formula in the dataset: 0.000 eV/f.u.
# D(E_F): 0.1989 states/eV/atom
# Energy relative to the elements, uncorrected: -498 meV/atom
data_SrSiTe2I
_chemical_formula_sum 'Sr1 Si1 Te2 I1'
_symmetry_space_group_name_H-M 'P 4/m m m'
_symmetry_Int_Tables_number 123
_symmetry_space_group_name_Hall '-P 4 2'
_cell_length_a 5.418
_cell_length_b 5.418
_cell_length_c 5.651
_cell_angle_alpha 90.00
_cell_angle_beta 90.00
_cell_angle_gamma 90.00
loop_
_atom_site_label
_atom_site_type_symbol
_atom_site_fract_x
_atom_site_fract_y
_atom_site_fract_z
Sr1 Sr 0.000 0.000 0.000
Si1 Si 0.500 0.500 0.500
Te1 Te 0.000 0.500 0.500
I1 I 0.500 0.500 0.000



No. 8
# KY2Cd, relaxed, DFT GGA-PBE
# Mass density: 3.972 g cm⁻³
# D(E_F): 1.2673 states/eV/atom
# Energy of formation from the pure elements: 0.63 eV per formula unit
data_KY2Cd
_chemical_formula_sum 'K2 Y4 Cd2'
_symmetry_space_group_name_H-M 'C 1 2/m 1'
_symmetry_Int_Tables_number 12
_cell_length_a 14.119
_cell_length_b 3.537
_cell_length_c 6.114
_cell_angle_alpha 90.00
_cell_angle_beta 115.60
_cell_angle_gamma 90.00
loop_
_symmetry_equiv_pos_as_xyz
'x,y,z'
'-x,-y,-z'
'-x,y,-z'
'x,-y,z'
'x+1/2,y+1/2,z'
'-x+1/2,-y+1/2,-z'
'-x+1/2,y+1/2,-z'
'x+1/2,-y+1/2,z'
loop_
_atom_site_label
_atom_site_type_symbol
_atom_site_fract_x
_atom_site_fract_y
_atom_site_fract_z
K1 K 0.000 0.000 0.000
Y1 Y 0.211 0.000 0.711
Cd1 Cd 0.000 0.500 0.500



No. 9
# Tl2SiMo, relaxed, DFT GGA-PBE
# Mass density: 10.038 g cm⁻³
# Excess energy over the best structure of this formula in the dataset: 1.086 eV/f.u.
# D(E_F): 0.4698 states/eV/atom
# Energy relative to the elements, uncorrected: 561 meV/atom
data_Tl2SiMo
_chemical_formula_sum 'Tl4 Si2 Mo2'
_symmetry_space_group_name_H-M 'C 1 m 1'
_symmetry_Int_Tables_number 8
_cell_length_a 12.226
_cell_length_b 3.167
_cell_length_c 4.970
_cell_angle_alpha 90.00
_cell_angle_beta 113.66
_cell_angle_gamma 90.00
loop_
_symmetry_equiv_pos_as_xyz
'x,y,z'
'x,-y,z'
'x+1/2,y+1/2,z'
'x+1/2,-y+1/2,z'
loop_
_atom_site_label
_atom_site_type_symbol
_atom_site_fract_x
_atom_site_fract_y
_atom_site_fract_z
Tl1 Tl 0.000 0.000 0.000
Tl2 Tl 0.209 0.000 0.706
Si1 Si 0.295 0.500 0.291
Mo1 Mo 0.460 0.000 0.460



No. 10
# Mo3Au, relaxed, DFT GGA-PBE
# Mass density: 12.373 g cm⁻³
# D(E_F): 1.0102 states/eV/atom
# Energy of formation from the pure elements: 1.14 eV per formula unit
data_Mo3Au
_chemical_formula_sum 'Mo3 Au1'
_symmetry_space_group_name_H-M 'P m m 2'
_symmetry_Int_Tables_number 25
_cell_length_a 2.671
_cell_length_b 4.708
_cell_length_c 5.173
_cell_angle_alpha 90.00
_cell_angle_beta 90.00
_cell_angle_gamma 90.00
loop_
_symmetry_equiv_pos_as_xyz
'x,y,z'
'-x,-y,z'
'-x,y,z'
'x,-y,z'
loop_
_atom_site_label
_atom_site_type_symbol
_atom_site_fract_x
_atom_site_fract_y
_atom_site_fract_z
Mo1 Mo 0.000 0.000 0.000
Mo2 Mo 0.000 0.500 0.296
Mo3 Mo 0.500 0.500 0.801
Au1 Au 0.500 0.000 0.491



No. 11
# La2Ho4Er3, relaxed, DFT GGA-PBE
# Mass density: 7.964 g cm⁻³
# D(E_F): 1.8955 states/eV/atom
# Energy of formation from the pure elements: 1.62 eV per formula unit
data_La2Ho4Er3
_chemical_formula_sum 'La8 Ho16 Er12'
_symmetry_space_group_name_H-M 'F m m m'
_symmetry_Int_Tables_number 69
_symmetry_space_group_name_Hall '-F 2 2'
_cell_length_a 6.096
_cell_length_b 12.374
_cell_length_c 15.915
_cell_angle_alpha 90.00
_cell_angle_beta 90.00
_cell_angle_gamma 90.00
loop_
_atom_site_label
_atom_site_type_symbol
_atom_site_fract_x
_atom_site_fract_y
_atom_site_fract_z
La1 La 0.000 0.000 0.115
Ho1 Ho 0.000 0.144 0.312
Er1 Er 0.000 0.000 0.500
Er2 Er 0.250 0.250 0.000



No. 12
# UAg2Cl4O2, relaxed, DFT GGA-PBE
# Mass density: 3.740 g cm⁻³
# Energy relative to the elements, uncorrected: -1459 meV/atom
data_UAg2Cl4O2
_chemical_formula_sum 'U2 Ag4 Cl8 O4'
_symmetry_space_group_name_H-M 'C 1 2/m 1'
_symmetry_Int_Tables_number 12
_cell_length_a 12.953
_cell_length_b 7.562
_cell_length_c 5.692
_cell_angle_alpha 90.00
_cell_angle_beta 91.55
_cell_angle_gamma 90.00
loop_
_symmetry_equiv_pos_as_xyz
'x,y,z'
'-x,-y,-z'
'-x,y,-z'
'x,-y,z'
'x+1/2,y+1/2,z'
'-x+1/2,-y+1/2,-z'
'-x+1/2,y+1/2,-z'
'x+1/2,-y+1/2,z'
loop_
_atom_site_label
_atom_site_type_symbol
_atom_site_fract_x
_atom_site_fract_y
_atom_site_fract_z
U1 U 0.000 0.000 0.000
Ag1 Ag 0.231 0.500 0.977
Cl1 Cl 0.133 0.244 0.188
O1 O 0.075 0.000 0.739



No. 13
# CdCoPt2, relaxed, DFT GGA-PBE
# Mass density: 14.943 g cm⁻³
# D(E_F): 1.0194 states/eV/atom
# Energy of formation from the pure elements: -0.09 eV per formula unit
data_CdCoPt2
_chemical_formula_sum 'Cd2 Co2 Pt4'
_symmetry_space_group_name_H-M 'I -4 m 2'
_symmetry_Int_Tables_number 119
_symmetry_space_group_name_Hall 'I -4 -2'
_cell_length_a 3.970
_cell_length_b 3.970
_cell_length_c 7.916
_cell_angle_alpha 90.00
_cell_angle_beta 90.00
_cell_angle_gamma 90.00
loop_
_atom_site_label
_atom_site_type_symbol
_atom_site_fract_x
_atom_site_fract_y
_atom_site_fract_z
Cd1 Cd 0.000 0.000 0.000
Co1 Co 0.000 0.500 0.750
Pt1 Pt 0.000 0.000 0.500
Pt2 Pt 0.000 0.500 0.250